Entry 1:
First-principles (meta-GGA SCAN) data for Ba2IN at its PBEsol-relaxed geometry, as listed in Alexandria.

Unit cell a=7.860 b=7.860 c=8.898 alpha=90.00 beta=90.00 gamma=90.00
Space group I-42d (No. 122)
Inequivalent atoms, fractional coordinates:
Ba 0.154 0.250 0.125 [8 per cell]
I 0.000 0.000 0.500 [4 per cell]
N 0.000 0.000 0.000 [4 per cell]

Output
Uncorrected formation energy   -1.127 eV/atom
Size of the total moment   0.00 Bohr magnetons per cell



Entry 2:
First-principles (meta-GGA SCAN) data for BaI2N2 at its PBEsol-relaxed geometry, as listed in Alexandria.

Unit cell a=5.257 b=5.257 c=6.846 alpha=90.00 beta=90.00 gamma=90.00
Space group P4/mmm (No. 123)
Inequivalent atoms, fractional coordinates:
Ba 0.000 0.000 0.000 [1 per cell]
I 0.000 0.000 0.500 [1 per cell]
I 0.500 0.500 0.500 [1 per cell]
N 0.000 0.500 0.000 [2 per cell]

Output
Uncorrected formation energy   0.986 eV/atom
Size of the total moment   5.62 Bohr magnetons per cell



Entry 3:
First-principles (meta-GGA SCAN) data for BaOsIN2 at its PBEsol-relaxed geometry, as listed in Alexandria.

Unit cell a=4.345 b=4.345 c=6.668 alpha=90.00 beta=90.00 gamma=90.00
Space group P4/mmm (No. 123)
Inequivalent atoms, fractional coordinates:
Ba 0.000 0.000 0.000 [1 per cell]
Os 0.500 0.500 0.500 [1 per cell]
I 0.000 0.000 0.500 [1 per cell]
N 0.000 0.500 0.000 [2 per cell]

Output
Uncorrected formation energy   2.499 eV/atom
Size of the total moment   4.91 Bohr magnetons per cell